(i)
The following is a DFT calculation (GGA-PBE) of a relaxed structure of RbLiAg2.

Lattice parameters (Å, degrees): 4.773 4.773 18.910 90.00 90.00 120.00
Fractional positions:
1 Rb 0.000 0.000 0.000
2 Rb 0.333 0.667 0.667
3 Rb 0.667 0.333 0.333
4 Li 0.000 0.000 0.500
5 Li 0.333 0.667 0.167
6 Li 0.667 0.333 0.833
7 Ag 0.000 0.000 0.184
8 Ag 0.000 0.000 0.816
9 Ag 0.333 0.667 0.483
10 Ag 0.333 0.667 0.850
11 Ag 0.667 0.333 0.150
12 Ag 0.667 0.333 0.517

Computed properties:
The calculation puts the total magnetic moment at 0.00 μB/atom. The crystal system is trigonal. The space-group type is No. 166.

(ii)
The following is a DFT calculation (GGA-PBE) of a relaxed structure of RbLiAg2.

Lattice parameters (Å, degrees): 7.759 7.759 7.759 90.00 90.00 90.00
Fractional positions:
1 Rb 0.000 0.000 0.000
2 Rb 0.000 0.500 0.500
3 Rb 0.500 0.000 0.500
4 Rb 0.500 0.500 0.000
5 Li 0.000 0.000 0.500
6 Li 0.000 0.500 0.000
7 Li 0.500 0.000 0.000
8 Li 0.500 0.500 0.500
9 Ag 0.250 0.250 0.250
10 Ag 0.250 0.250 0.750
11 Ag 0.250 0.750 0.250
12 Ag 0.250 0.750 0.750
13 Ag 0.750 0.250 0.250
14 Ag 0.750 0.250 0.750
15 Ag 0.750 0.750 0.250
16 Ag 0.750 0.750 0.750

Computed properties:
The calculation puts the total magnetic moment at 0.00 μB/atom. The crystal system is cubic. The space-group type is No. 225.

Quick look at relative energies in kJ/mol of atoms: (i) 0.0; (ii) 28.9.

(i)
The following is a DFT calculation (GGA-PBE) of a relaxed structure of RbLiAg2.

Lattice parameters (Å, degrees): 8.403 8.403 6.791 90.00 90.00 90.00
Fractional positions:
1 Rb 0.000 0.000 0.000
2 Rb 0.000 0.500 0.250
3 Rb 0.500 0.000 0.750
4 Rb 0.500 0.500 0.500
5 Li 0.000 0.000 0.500
6 Li 0.000 0.500 0.750
7 Li 0.500 0.000 0.250
8 Li 0.500 0.500 0.000
9 Ag 0.170 0.250 0.625
10 Ag 0.250 0.670 0.875
11 Ag 0.250 0.830 0.375
12 Ag 0.330 0.250 0.125
13 Ag 0.670 0.750 0.125
14 Ag 0.750 0.170 0.375
15 Ag 0.750 0.330 0.875
16 Ag 0.830 0.750 0.625

Computed properties:
The calculation puts the total magnetic moment at 0.00 μB/atom. The crystal system is tetragonal. The space-group type is No. 122.

(ii)
The following is a DFT calculation (GGA-PBE) of a relaxed structure of RbLiAg2.

Lattice parameters (Å, degrees): 3.520 3.520 8.195 90.00 90.00 90.00
Fractional positions:
1 Rb 0.000 0.000 0.000
2 Li 0.000 0.000 0.500
3 Ag 0.500 0.500 0.327
4 Ag 0.500 0.500 0.673

Computed properties:
The calculation puts the total magnetic moment at 0.00 μB/atom. The crystal system is tetragonal. The space-group type is No. 123.

Quick look at relative energies in kJ/mol of atoms: (i) 12.9; (ii) 0.0.

(i)
The following is a DFT calculation (GGA-PBE) of a relaxed structure of RbLi2AgSb.

Lattice parameters (Å, degrees): 5.138 5.138 6.225 90.00 90.00 90.00
Fractional positions:
1 Rb 0.000 0.000 0.000
2 Li 0.000 0.500 0.000
3 Li 0.500 0.000 0.000
4 Ag 0.500 0.500 0.500
5 Sb 0.000 0.000 0.500

Computed properties:
The calculation puts the total magnetic moment at 0.00 μB/atom. The crystal system is tetragonal. The space-group type is No. 123.

(ii)
The following is a DFT calculation (GGA-PBE) of a relaxed structure of RbLi2AgSb.

Lattice parameters (Å, degrees): 5.321 5.321 5.597 90.00 90.00 90.00
Fractional positions:
1 Rb 0.000 0.000 0.000
2 Li 0.000 0.500 0.500
3 Li 0.500 0.000 0.500
4 Ag 0.500 0.500 0.000
5 Sb 0.500 0.500 0.500

Computed properties:
The calculation puts the total magnetic moment at 0.00 μB/atom. The crystal system is tetragonal. The space-group type is No. 123.

Quick look at relative energies in kJ/mol of atoms: (i) 108.3; (ii) 0.0.

(i)
The following is a DFT calculation (GGA-PBE) of a relaxed structure of RbLiAg2Sn.

Lattice parameters (Å, degrees): 5.059 5.059 5.244 90.00 90.00 90.00
Fractional positions:
1 Rb 0.000 0.000 0.000
2 Li 0.000 0.000 0.500
3 Ag 0.000 0.500 0.500
4 Ag 0.500 0.000 0.500
5 Sn 0.500 0.500 0.000

Computed properties:
The calculation puts the total magnetic moment at 0.00 μB/atom. The crystal system is tetragonal. The space-group type is No. 123.

(ii)
The following is a DFT calculation (GGA-PBE) of a relaxed structure of RbLiAg2Sn.

Lattice parameters (Å, degrees): 5.380 5.380 5.391 90.00 90.00 90.00
Fractional positions:
1 Rb 0.000 0.000 0.000
2 Li 0.500 0.500 0.000
3 Ag 0.000 0.500 0.500
4 Ag 0.500 0.000 0.500
5 Sn 0.500 0.500 0.500

Computed properties:
The calculation puts the total magnetic moment at 0.00 μB/atom. The crystal system is tetragonal. The space-group type is No. 123.

Quick look at relative energies in kJ/mol of atoms: (i) 45.4; (ii) 0.0.